No. 1
ErZrCuRe | PBE | relaxed

* DFT formation energy: -11 kJ/mol of atoms
* M_tot: 0.000 μB per atom
* D(E_F): 2.9 states/eV per cell
* total DFT energy (no corrections): -0.2765 Ha/atom

abc: 4.7372 4.7372 4.7372
angles: 60.00 60.00 60.00
Last column: nearest neighbours and their distance in Å.
Positions (direct):
Er (0.0000, 0.0000, 0.0000)  4 Cu 2.90, 4 Re 2.90
Zr (0.5000, 0.5000, 0.5000)  4 Re 2.90, 4 Cu 2.90
Cu (0.7500, 0.7500, 0.7500)  4 Er 2.90, 4 Zr 2.90
Re (0.2500, 0.2500, 0.2500)  4 Zr 2.90, 4 Er 2.90



No. 2
Er2CuRh | PBE | relaxed

* DFT formation energy: -61 kJ/mol of atoms
* M_tot: 0.000 μB per atom
* D(E_F): 5.4 states/eV per cell
* total DFT energy (no corrections): -0.2122 Ha/atom

abc: 5.5209 4.3027 7.5094
angles: 90.00 110.15 90.00
Last column: nearest neighbours and their distance in Å.
Positions (direct):
Er (0.2167, 0.2500, 0.4338)  4 Rh 2.91-2.99, 3 Cu 2.92-2.95
Er (0.2260, 0.2500, 0.9275)  3 Rh 2.89-2.92, 4 Cu 2.91-2.95
Er (0.7740, 0.7500, 0.0725)  3 Rh 2.89-2.92, 4 Cu 2.91-2.95
Er (0.7833, 0.7500, 0.5662)  4 Rh 2.91-2.99, 3 Cu 2.92-2.95
Cu (0.3433, 0.7500, 0.2109)  2 Rh 2.69, 7 Er 2.91-2.95
Cu (0.6567, 0.2500, 0.7891)  2 Rh 2.69, 7 Er 2.91-2.95
Rh (0.3441, 0.7500, 0.7130)  2 Cu 2.69, 7 Er 2.89-2.99
Rh (0.6559, 0.2500, 0.2870)  2 Cu 2.69, 7 Er 2.89-2.99



No. 3
Er4CuRh | PBE | relaxed

* E above lowest polymorph: 0.000 eV/f.u.
* DFT formation energy: -41 kJ/mol of atoms
* M_tot: 0.000 μB per atom
* D(E_F): 21.0 states/eV per cell
* total DFT energy (no corrections): -0.1973 Ha/atom

abc: 9.3023 9.3023 9.3023
angles: 60.00 60.00 60.00
Last column: nearest neighbours and their distance in Å.
Positions (direct):
Er (0.1853, 0.1853, 0.8147)  2 Cu 3.16, 2 Rh 3.38, 10 Er 3.38-3.49
Er (0.1853, 0.8147, 0.1853)  2 Cu 3.16, 2 Rh 3.38, 10 Er 3.38-3.49
Er (0.1853, 0.8147, 0.8147)  2 Cu 3.16, 2 Rh 3.38, 10 Er 3.38-3.49
Er (0.3894, 0.3894, 0.3894)  3 Rh 2.82, 3 Cu 3.10
Er (0.3894, 0.3894, 0.8317)  3 Rh 2.82, 3 Cu 3.10
Er (0.3894, 0.8317, 0.3894)  3 Rh 2.82, 3 Cu 3.10
Er (0.5611, 0.5611, 0.9389)  2 Rh 2.78
Er (0.5611, 0.9389, 0.5611)  2 Rh 2.78
Er (0.5611, 0.9389, 0.9389)  2 Rh 2.78
Er (0.8147, 0.1853, 0.1853)  2 Cu 3.16, 2 Rh 3.38, 10 Er 3.38-3.49
Er (0.8147, 0.1853, 0.8147)  2 Cu 3.16, 2 Rh 3.38, 10 Er 3.38-3.49
Er (0.8147, 0.8147, 0.1853)  2 Cu 3.16, 2 Rh 3.38, 10 Er 3.38-3.49
Er (0.8317, 0.3894, 0.3894)  3 Rh 2.82, 3 Cu 3.10
Er (0.9389, 0.5611, 0.5611)  2 Rh 2.78
Er (0.9389, 0.5611, 0.9389)  2 Rh 2.78
Er (0.9389, 0.9389, 0.5611)  2 Rh 2.78
Cu (0.1693, 0.1693, 0.1693)  3 Cu 3.00, 6 Er 3.10-3.16
Cu (0.1693, 0.1693, 0.4921)  3 Cu 3.00, 6 Er 3.10-3.16
Cu (0.1693, 0.4921, 0.1693)  3 Cu 3.00, 6 Er 3.10-3.16
Cu (0.4921, 0.1693, 0.1693)  3 Cu 3.00, 6 Er 3.10-3.16
Rh (0.1886, 0.6038, 0.6038)  6 Er 2.78-2.82
Rh (0.6038, 0.1886, 0.6038)  6 Er 2.78-2.82
Rh (0.6038, 0.6038, 0.1886)  6 Er 2.78-2.82
Rh (0.6038, 0.6038, 0.6038)  6 Er 2.78-2.82



No. 4
Er8CuRh2 | PBE | relaxed

* DFT formation energy: -30 kJ/mol of atoms
* M_tot: 0.000 μB per atom
* D(E_F): 11.3 states/eV per cell
* total DFT energy (no corrections): -0.1961 Ha/atom

abc: 7.4895 7.4895 5.8685
angles: 99.76 99.76 112.58
Last column: nearest neighbours and their distance in Å.
Positions (direct):
Er (0.0000, 0.0000, 0.0000)  2 Rh 2.98, 1 Cu 3.00
Er (0.0235, 0.2853, 0.5878)  2 Rh 2.76-2.80, 1 Cu 3.06
Er (0.1450, 0.5872, 0.1832)  1 Cu 2.92, 2 Rh 3.12-3.18
Er (0.2853, 0.0235, 0.5878)  2 Rh 2.76-2.80, 1 Cu 3.06
Er (0.4391, 0.7019, 0.7927)  2 Rh 2.77-2.80, 1 Cu 2.95
Er (0.5872, 0.1450, 0.1832)  1 Cu 2.92, 2 Rh 3.12-3.18
Er (0.7019, 0.4391, 0.7927)  2 Rh 2.77-2.80, 1 Cu 2.95
Er (0.7278, 0.7278, 0.3688)  2 Rh 2.99, 1 Cu 3.09
Cu (0.3647, 0.3647, 0.0169)  8 Er 2.92-3.09
Rh (0.0495, 0.6742, 0.6864)  6 Er 2.76-2.99
Rh (0.6742, 0.0495, 0.6864)  6 Er 2.76-2.99



No. 5
ErCuRh4 | PBE | relaxed

* DFT formation energy: -26 kJ/mol of atoms
* M_tot: 0.027 μB per atom
* D(E_F): 9.4 states/eV per cell
* total DFT energy (no corrections): -0.2429 Ha/atom

abc: 5.1972 5.1972 5.1972
angles: 60.00 60.00 60.00
Last column: nearest neighbours and their distance in Å.
Positions (direct):
Er (0.0000, 0.0000, 0.0000)  12 Rh 3.05, 4 Cu 3.18
Cu (0.7500, 0.7500, 0.7500)  12 Rh 3.05, 4 Er 3.18
Rh (0.3754, 0.3754, 0.3754)  6 Rh 2.59-2.61
Rh (0.3754, 0.3754, 0.8737)  6 Rh 2.59-2.61
Rh (0.3754, 0.8737, 0.3754)  6 Rh 2.59-2.61
Rh (0.8737, 0.3754, 0.3754)  6 Rh 2.59-2.61



No. 6
Er7Cu2Rh2 | PBE | relaxed

* DFT formation energy: -26 kJ/mol of atoms
* M_tot: 0.000 μB per atom
* D(E_F): 10.2 states/eV per cell
* total DFT energy (no corrections): -0.1932 Ha/atom

abc: 6.5097 6.5097 6.9968
angles: 90.00 90.00 109.44
Last column: nearest neighbours and their distance in Å.
Positions (direct):
Er (0.0000, 0.0000, 0.0000)  2 Rh 3.11
Er (0.0000, 0.5000, 0.2657)  2 Rh 2.68
Er (0.0000, 0.5000, 0.7343)  2 Rh 2.68
Er (0.5000, 0.0000, 0.2657)  2 Rh 2.68
Er (0.5000, 0.0000, 0.7343)  2 Rh 2.68
Er (0.5000, 0.5000, 0.2593)  2 Rh 2.86, 2 Cu 2.97
Er (0.5000, 0.5000, 0.7407)  2 Rh 2.86, 2 Cu 2.97
Cu (0.1753, 0.1753, 0.5000)  1 Cu 2.64
Cu (0.8247, 0.8247, 0.5000)  1 Cu 2.64
Rh (0.2925, 0.7075, 0.0000)  6 Er 2.68-2.86
Rh (0.7075, 0.2925, 0.0000)  6 Er 2.68-2.86



> Among the records above, which one has the highest DFT formation energy?

ErZrCuRe



> What is the M_tot in the second record?

0.000 μB per atom



Copy entry 1 word for word.
ErZrCuRe | PBE | relaxed

* DFT formation energy: -11 kJ/mol of atoms
* M_tot: 0.000 μB per atom
* D(E_F): 2.9 states/eV per cell
* total DFT energy (no corrections): -0.2765 Ha/atom

abc: 4.7372 4.7372 4.7372
angles: 60.00 60.00 60.00
Last column: nearest neighbours and their distance in Å.
Positions (direct):
Er (0.0000, 0.0000, 0.0000)  4 Cu 2.90, 4 Re 2.90
Zr (0.5000, 0.5000, 0.5000)  4 Re 2.90, 4 Cu 2.90
Cu (0.7500, 0.7500, 0.7500)  4 Er 2.90, 4 Zr 2.90
Re (0.2500, 0.2500, 0.2500)  4 Zr 2.90, 4 Er 2.90